VASP calculation (PBE-GGA) on crystalline PmNdPCl at its relaxed geometry.

Calculated values
As for the density: 5.751 g cm⁻³. The value obtained for the electronic total energy is -69.39 eV/cell. Its volume is 308 Å³/cell. The value obtained for the density of states at the Fermi level is 0.30 states/eV per atom. The total magnetization is 0.0 μB/f.u.

```
data_PmNdPCl
_chemical_formula_sum 'Pm3 Nd3 P3 Cl3'
_symmetry_space_group_name_H-M 'R 3 m'
_symmetry_Int_Tables_number 160
_symmetry_space_group_name_Hall 'R 3 -2"'
_cell_length_a 4.0427
_cell_length_b 4.0427
_cell_length_c 21.7710
_cell_angle_alpha 90.00
_cell_angle_beta 90.00
_cell_angle_gamma 120.00
loop_
_atom_site_label
_atom_site_fract_x
_atom_site_fract_y
_atom_site_fract_z
Pm1 0.0000 0.0000 0.0000
Nd1 0.0000 0.0000 0.1920
P1 0.0000 0.0000 0.5981
Cl1 0.0000 0.0000 0.4271
```


VASP calculation (PBE-GGA) on crystalline PaTiNb at its relaxed geometry.

Calculated values
As for the density: 9.227 g cm⁻³. The value obtained for the electronic total energy is -51.76 eV/cell. Its volume is 134 Å³/cell. The value obtained for the density of states at the Fermi level is 1.56 states/eV per atom. The total magnetization is 0.0 μB/f.u. The formation energy is 0.5272 eV per atom.

```
data_PaTiNb
_chemical_formula_sum 'Pa2 Ti2 Nb2'
_symmetry_space_group_name_H-M 'P m m a'
_symmetry_Int_Tables_number 51
_cell_length_a 6.222
_cell_length_b 4.769
_cell_length_c 4.509
_cell_angle_alpha 90.00
_cell_angle_beta 90.00
_cell_angle_gamma 90.00
loop_
_symmetry_equiv_pos_as_xyz
'x,y,z'
'-x,-y,-z'
'-x+1/2,-y,z'
'x+1/2,y,-z'
'x+1/2,-y,-z'
'-x+1/2,y,z'
'-x,y,-z'
'x,-y,z'
loop_
_atom_site_label
_atom_site_fract_x
_atom_site_fract_y
_atom_site_fract_z
Pa1 0.250 0.000 0.197
Ti1 0.250 0.500 0.532
Nb1 0.000 0.500 0.000
```